DFT (PBE) results for a relaxed CoSb2TeW crystal.

**DOS at the Fermi energy**: 4.44 states/eV/f.u.
**Total magnetization**: 2.59 μB/f.u.
**Uncorrected formation energy**: 1.13 eV/atom
**E**: -5.161 eV per atom
**Polymorph energy (0 for the lowest one)**: 0 meV per atom
**SG**: P4/mmm (123)

```
CoSb2TeW
1.0
4.810 0.000 0.000
0.000 4.810 0.000
0.000 0.000 5.077
Co Sb Te W
1 2 1 1
Cartesian
0.000 0.000 0.000 Co
0.000 2.405 0.000 Sb
2.405 0.000 0.000 Sb
0.000 0.000 2.539 Te
2.405 2.405 2.539 W
```